(1)
Crystalline Cs2Hf2CuSe6 at its relaxed geometry. Source: the Alexandria database, functional PBE.

Calculated total energy in eV per atom: -5.304

Cell: 6.785 6.785 8.860 Å, 97.12 97.12 121.21°
Site moments in Bohr magnetons follow the coordinates.
Positions (direct):
1 Se 0.599 0.937 0.322  0.04
2 Hf 0.330 0.670 0.500  0.01
3 Cs 0.838 0.162 0.000  0.00
4 Se 0.063 0.401 0.678  0.04
5 Hf 0.670 0.330 0.500  0.01
6 Cs 0.162 0.838 0.000  0.00
7 Cu 0.000 0.000 0.500  0.27
8 Se 0.734 0.734 0.664  0.08
9 Se 0.937 0.599 0.322  0.04
10 Se 0.401 0.063 0.678  0.04
11 Se 0.266 0.266 0.336  0.08

---

(2)
Crystalline CsHfCu3Se4 at its relaxed geometry. Source: the Alexandria database, functional PBE.

Calculated total energy in eV per atom: -4.680

Cell: 6.448 6.448 6.448 Å, 90.00 90.00 90.00°
Positions (direct):
1 Se 0.221 0.221 0.221
2 Cs 0.500 0.500 0.500
3 Hf 0.000 0.000 0.000
4 Cu 0.000 0.000 0.500
5 Cu 0.500 0.000 0.000
6 Cu 0.000 0.500 0.000
7 Se 0.779 0.779 0.221
8 Se 0.221 0.779 0.779
9 Se 0.779 0.221 0.779

---

(3)
Crystalline Cs3Hf2CuTe10 at its relaxed geometry. Source: the Alexandria database, functional PBE.

Calculated total energy in eV per atom: -4.358

Cell: 10.244 11.319 11.426 Å, 89.60 89.59 77.72°
Positions (direct):
1 Te 0.667 0.085 0.934
2 Te 0.410 0.246 0.934
3 Te 0.080 0.361 0.111
4 Te 0.194 0.584 0.242
5 Te 0.156 0.443 0.603
6 Cs 0.117 0.110 0.739
7 Te 0.784 0.883 0.607
8 Cs 0.883 0.890 0.261
9 Te 0.216 0.117 0.393
10 Te 0.920 0.639 0.889
11 Te 0.525 0.088 0.306
12 Te 0.590 0.754 0.066
13 Te 0.391 0.354 0.294
14 Cs 0.701 0.372 0.106
15 Hf 0.891 0.624 0.634
16 Te 0.046 0.122 0.069
17 Cu 0.078 0.622 0.443
18 Te 0.609 0.646 0.706
19 Te 0.844 0.557 0.397
20 Cs 0.561 0.231 0.614
21 Cs 0.299 0.628 0.894
22 Te 0.069 0.793 0.591
23 Te 0.475 0.912 0.694
24 Hf 0.691 0.841 0.856
25 Te 0.954 0.878 0.931
26 Hf 0.109 0.376 0.366
27 Te 0.333 0.915 0.066
28 Cu 0.922 0.378 0.557
29 Te 0.806 0.416 0.758
30 Cs 0.439 0.769 0.386
31 Hf 0.309 0.159 0.144
32 Te 0.931 0.207 0.409

---

Q: Which of these has the lowest calculated total energy?
A: Cs2Hf2CuSe6